Below is a relaxed structure of Y2MnTl3S6, with properties calculated at the GGA-PBE level.

## Properties
- Calculated volume: 24.84 Å³ per atom
- E: -5.606 eV/atom
- Mass density: 5.79 g cm⁻³

Cell lengths 6.726, 6.726, 7.876 Å; angles 99.16, 99.16, 118.35 degrees
Sites, in units of the cell vectors:
Y (0.335, 0.665, 0.000)
Y (0.665, 0.335, 0.000)
Mn (0.000, 0.000, 0.000)
Tl (0.172, 0.828, 0.500)
Tl (0.828, 0.172, 0.500)
Tl (0.500, 0.500, 0.500)
S (0.938, 0.639, 0.819)
S (0.742, 0.742, 0.215)
S (0.062, 0.361, 0.181)
S (0.639, 0.938, 0.819)
S (0.258, 0.258, 0.785)
S (0.361, 0.062, 0.181)